Record 1
PBE BaSn3Cl8, optimized geometry; total moment = 0.0 μB per cell
1.0
4.478 2.586 5.850
-4.478 2.586 5.850
0.000 -5.171 5.850
Ba Sn Cl
1 3 8
Cartesian
0.000 0.000 0.000 Ba
-2.239 -1.293 5.850 Sn
-2.239 1.293 11.700 Sn
0.000 2.586 5.850 Sn
0.000 0.000 4.400 Cl
0.000 -2.432 7.253 Cl
-2.106 1.216 7.253 Cl
-2.106 -1.216 10.297 Cl
2.106 1.216 7.253 Cl
2.106 -1.216 10.297 Cl
0.000 2.432 10.297 Cl
0.000 0.000 13.150 Cl



Record 2
PBE Ba2SnCl6, optimized geometry; relative energy among the computed polymorphs = 0.000 eV per atom; total moment = 0.0 μB per cell
1.0
7.476 0.000 0.000
0.000 7.841 0.000
-5.806 0.000 10.708
Ba Sn Cl
4 2 12
Cartesian
0.031 0.743 2.453 Ba
-2.873 3.177 7.807 Ba
4.542 4.664 2.901 Ba
1.639 7.098 8.255 Ba
3.738 0.000 0.000 Sn
0.835 3.921 5.354 Sn
-4.473 1.426 10.108 Cl
-1.570 2.494 4.754 Cl
-3.537 5.548 9.725 Cl
-0.634 6.213 4.371 Cl
-1.176 0.595 8.109 Cl
1.727 3.325 2.755 Cl
-0.057 4.516 7.953 Cl
2.846 7.246 2.599 Cl
2.304 1.628 6.337 Cl
5.207 2.293 0.983 Cl
3.240 5.347 5.954 Cl
6.143 6.415 0.600 Cl



Calculated energy (eV per atom), listed in the same order as above: -3.7313 -4.0925
Calculated volume (Å³ per atom), listed in the same order as above: 33.87 34.87
Calculated energy relative to the elements, uncorrected (eV per atom), listed in the same order as above: -1.339 -1.989